Entry from the Alexandria database: SiTePb2 after structural relaxation (PBE).

a b c (Å): 4.206 3.201 10.561
angles (deg): 55.13 90.00 90.00
Element x y z (fractional)
Si 0.500 0.250 0.250
Te 0.500 0.750 0.750
Pb 0.000 0.332 0.459
Pb 0.000 0.168 0.041

Summary:
raw total energy = -0.139 hartree per atom
density = 8.11 Mg/m³
energy above the lowest structure with this stoichiometry = 49.2 meV per atom
uncorrected formation energy = 217 meV per atom